one | ## PaGeW (PBE)

Data for a geometry-optimized PaGeW structure.

Cell lengths 4.893, 4.535, 5.643 Å; angles 90.00, 109.90, 90.00 degrees
Positions (direct):
1 Pa 0.203 0.250 0.054
2 Pa 0.797 0.750 0.946
3 Ge 0.448 0.250 0.640
4 Ge 0.552 0.750 0.360
5 W 0.148 0.750 0.583
6 W 0.852 0.250 0.417



two | ## PaGeW (PBE)

Data for a geometry-optimized PaGeW structure.

Cell lengths 4.465, 4.465, 3.558 Å; angles 90.00, 90.00, 120.00 degrees
Positions (direct):
1 Pa 0.000 0.000 0.000
2 Ge 0.333 0.667 0.500
3 W 0.667 0.333 0.500



Which is the most stable structure? one is the most stable.



one | ## YPa2Ge (PBE)

Data for a geometry-optimized YPa2Ge structure.

Cell lengths 3.194, 3.194, 34.198 Å; angles 90.00, 90.00, 120.00 degrees
Positions (direct):
1 Y 0.000 0.000 0.000
2 Y 0.333 0.667 0.667
3 Y 0.667 0.333 0.333
4 Pa 0.000 0.000 0.095
5 Pa 0.000 0.000 0.905
6 Pa 0.333 0.667 0.572
7 Pa 0.333 0.667 0.761
8 Pa 0.667 0.333 0.239
9 Pa 0.667 0.333 0.428
10 Ge 0.000 0.000 0.500
11 Ge 0.333 0.667 0.167
12 Ge 0.667 0.333 0.833



two | ## YPa2Ge (PBE)

Data for a geometry-optimized YPa2Ge structure.

Cell lengths 4.324, 4.324, 5.034 Å; angles 90.00, 90.00, 90.00 degrees
Positions (direct):
1 Y 0.000 0.000 0.000
2 Pa 0.000 0.500 0.500
3 Pa 0.500 0.000 0.500
4 Ge 0.500 0.500 0.000



Which is the most stable structure? two is the most stable.



one | ## YPaGe (PBE)

Data for a geometry-optimized YPaGe structure.

Cell lengths 3.209, 17.047, 5.563 Å; angles 90.00, 90.00, 90.00 degrees
Positions (direct):
1 Y 0.000 0.173 0.250
2 Y 0.000 0.827 0.750
3 Y 0.500 0.327 0.750
4 Y 0.500 0.673 0.250
5 Pa 0.000 0.500 0.000
6 Pa 0.000 0.500 0.500
7 Pa 0.500 0.000 0.000
8 Pa 0.500 0.000 0.500
9 Ge 0.000 0.344 0.250
10 Ge 0.000 0.656 0.750
11 Ge 0.500 0.156 0.750
12 Ge 0.500 0.844 0.250



two | ## YPaGe (PBE)

Data for a geometry-optimized YPaGe structure.

Cell lengths 4.981, 4.981, 3.497 Å; angles 90.00, 90.00, 120.00 degrees
Positions (direct):
1 Y 0.000 0.000 0.000
2 Pa 0.333 0.667 0.478
3 Ge 0.667 0.333 0.771



Which is the most stable structure? one is the most stable.



one | ## Pa2ZnGe (PBE)

Data for a geometry-optimized Pa2ZnGe structure.

Cell lengths 7.059, 7.059, 7.059 Å; angles 90.00, 90.00, 90.00 degrees
Positions (direct):
1 Pa 0.250 0.250 0.250
2 Pa 0.250 0.250 0.750
3 Pa 0.250 0.750 0.250
4 Pa 0.250 0.750 0.750
5 Pa 0.750 0.250 0.250
6 Pa 0.750 0.250 0.750
7 Pa 0.750 0.750 0.250
8 Pa 0.750 0.750 0.750
9 Zn 0.000 0.000 0.000
10 Zn 0.000 0.500 0.500
11 Zn 0.500 0.000 0.500
12 Zn 0.500 0.500 0.000
13 Ge 0.000 0.000 0.500
14 Ge 0.000 0.500 0.000
15 Ge 0.500 0.000 0.000
16 Ge 0.500 0.500 0.500



two | ## Pa2ZnGe (PBE)

Data for a geometry-optimized Pa2ZnGe structure.

Cell lengths 4.467, 4.467, 4.240 Å; angles 90.00, 90.00, 90.00 degrees
Positions (direct):
1 Pa 0.000 0.500 0.000
2 Pa 0.500 0.000 0.000
3 Zn 0.000 0.000 0.500
4 Ge 0.500 0.500 0.500



three | ## Pa2ZnGe (PBE)

Data for a geometry-optimized Pa2ZnGe structure.

Cell lengths 6.298, 8.403, 6.392 Å; angles 90.00, 90.00, 90.00 degrees
Positions (direct):
1 Pa 0.250 0.021 0.250
2 Pa 0.250 0.479 0.250
3 Pa 0.250 0.521 0.750
4 Pa 0.250 0.979 0.750
5 Pa 0.750 0.021 0.250
6 Pa 0.750 0.479 0.250
7 Pa 0.750 0.521 0.750
8 Pa 0.750 0.979 0.750
9 Zn 0.000 0.250 0.538
10 Zn 0.000 0.750 0.462
11 Zn 0.500 0.250 0.962
12 Zn 0.500 0.750 0.038
13 Ge 0.000 0.250 0.966
14 Ge 0.000 0.750 0.034
15 Ge 0.500 0.250 0.534
16 Ge 0.500 0.750 0.466



four | ## Pa2ZnGe (PBE)

Data for a geometry-optimized Pa2ZnGe structure.

Cell lengths 3.732, 3.732, 6.266 Å; angles 90.00, 90.00, 90.00 degrees
Positions (direct):
1 Pa 0.000 0.000 0.245
2 Pa 0.000 0.000 0.755
3 Zn 0.500 0.500 0.500
4 Ge 0.500 0.500 0.000



Which is the most stable structure? three is the most stable.



one | ## Pa2Zn3Ge (PBE)

Data for a geometry-optimized Pa2Zn3Ge structure.

Cell lengths 3.659, 4.350, 7.527 Å; angles 90.00, 90.00, 90.00 degrees
Positions (direct):
1 Pa 0.000 0.000 0.000
2 Pa 0.000 0.500 0.493
3 Zn 0.500 0.000 0.667
4 Zn 0.500 0.500 0.159
5 Zn 0.500 0.500 0.827
6 Ge 0.500 0.000 0.333



two | ## Pa2Zn3Ge (PBE)

Data for a geometry-optimized Pa2Zn3Ge structure.

Cell lengths 9.157, 8.541, 5.624 Å; angles 77.54, 65.61, 36.85 degrees
Positions (direct):
1 Pa 0.221 0.779 0.779
2 Pa 0.250 0.250 0.250
3 Pa 0.750 0.750 0.750
4 Pa 0.779 0.221 0.221
5 Zn 0.180 0.656 0.344
6 Zn 0.338 0.338 0.662
7 Zn 0.344 0.820 0.180
8 Zn 0.656 0.180 0.820
9 Zn 0.662 0.662 0.338
10 Zn 0.820 0.344 0.656
11 Ge 0.171 0.171 0.829
12 Ge 0.829 0.829 0.171



Which is the most stable structure? two is the most stable.



one | ## ZrPa2Ge (PBE)

Data for a geometry-optimized ZrPa2Ge structure.

Cell lengths 7.193, 7.193, 7.193 Å; angles 90.00, 90.00, 90.00 degrees
Positions (direct):
1 Zr 0.000 0.000 0.000
2 Zr 0.000 0.500 0.500
3 Zr 0.500 0.000 0.500
4 Zr 0.500 0.500 0.000
5 Pa 0.250 0.250 0.250
6 Pa 0.250 0.250 0.750
7 Pa 0.250 0.750 0.250
8 Pa 0.250 0.750 0.750
9 Pa 0.750 0.250 0.250
10 Pa 0.750 0.250 0.750
11 Pa 0.750 0.750 0.250
12 Pa 0.750 0.750 0.750
13 Ge 0.000 0.000 0.500
14 Ge 0.000 0.500 0.000
15 Ge 0.500 0.000 0.000
16 Ge 0.500 0.500 0.500



two | ## ZrPa2Ge (PBE)

Data for a geometry-optimized ZrPa2Ge structure.

Cell lengths 3.882, 3.882, 6.309 Å; angles 90.00, 90.00, 90.00 degrees
Positions (direct):
1 Zr 0.000 0.000 0.000
2 Pa 0.500 0.500 0.286
3 Pa 0.500 0.500 0.714
4 Ge 0.000 0.000 0.500



Which is the most stable structure? two is the most stable.



one | ## ZrPaGe2 (PBE)

Data for a geometry-optimized ZrPaGe2 structure.

Cell lengths 7.773, 4.479, 5.627 Å; angles 90.00, 117.36, 90.00 degrees
Positions (direct):
1 Zr 0.000 0.000 0.000
2 Zr 0.500 0.500 0.000
3 Pa 0.000 0.500 0.500
4 Pa 0.500 0.000 0.500
5 Ge 0.241 0.500 0.224
6 Ge 0.259 0.000 0.776
7 Ge 0.741 0.000 0.224
8 Ge 0.759 0.500 0.776



two | ## ZrPaGe2 (PBE)

Data for a geometry-optimized ZrPaGe2 structure.

Cell lengths 3.667, 3.667, 6.092 Å; angles 90.00, 90.00, 90.00 degrees
Positions (direct):
1 Zr 0.000 0.000 0.000
2 Pa 0.000 0.000 0.500
3 Ge 0.500 0.500 0.222
4 Ge 0.500 0.500 0.778



three | ## ZrPaGe2 (PBE)

Data for a geometry-optimized ZrPaGe2 structure.

Cell lengths 3.082, 3.082, 32.157 Å; angles 90.00, 90.00, 120.00 degrees
Positions (direct):
1 Zr 0.000 0.000 0.000
2 Zr 0.333 0.667 0.667
3 Zr 0.667 0.333 0.333
4 Pa 0.000 0.000 0.500
5 Pa 0.333 0.667 0.167
6 Pa 0.667 0.333 0.833
7 Ge 0.000 0.000 0.407
8 Ge 0.000 0.000 0.593
9 Ge 0.333 0.667 0.074
10 Ge 0.333 0.667 0.260
11 Ge 0.667 0.333 0.740
12 Ge 0.667 0.333 0.926



four | ## ZrPaGe2 (PBE)

Data for a geometry-optimized ZrPaGe2 structure.

Cell lengths 5.697, 5.697, 11.338 Å; angles 90.00, 90.00, 90.00 degrees
Positions (direct):
1 Zr 0.000 0.250 0.375
2 Zr 0.000 0.750 0.625
3 Zr 0.500 0.250 0.125
4 Zr 0.500 0.750 0.875
5 Pa 0.000 0.250 0.875
6 Pa 0.000 0.750 0.125
7 Pa 0.500 0.250 0.625
8 Pa 0.500 0.750 0.375
9 Ge 0.000 0.250 0.129
10 Ge 0.000 0.250 0.621
11 Ge 0.000 0.750 0.379
12 Ge 0.000 0.750 0.871
13 Ge 0.500 0.250 0.371
14 Ge 0.500 0.250 0.879
15 Ge 0.500 0.750 0.121
16 Ge 0.500 0.750 0.629



Which is the most stable structure? four is the most stable.



one | ## ZrPaGe (PBE)

Data for a geometry-optimized ZrPaGe structure.

Cell lengths 4.883, 4.883, 3.260 Å; angles 90.00, 90.00, 120.00 degrees
Positions (direct):
1 Zr 0.000 0.000 0.000
2 Pa 0.333 0.667 0.500
3 Ge 0.667 0.333 0.998



two | ## ZrPaGe (PBE)

Data for a geometry-optimized ZrPaGe structure.

Cell lengths 4.031, 4.031, 16.018 Å; angles 90.00, 90.00, 90.00 degrees
Positions (direct):
1 Zr 0.000 0.000 0.181
2 Zr 0.000 0.000 0.819
3 Zr 0.500 0.500 0.319
4 Zr 0.500 0.500 0.681
5 Pa 0.000 0.500 0.000
6 Pa 0.000 0.500 0.500
7 Pa 0.500 0.000 0.000
8 Pa 0.500 0.000 0.500
9 Ge 0.000 0.000 0.356
10 Ge 0.000 0.000 0.644
11 Ge 0.500 0.500 0.144
12 Ge 0.500 0.500 0.856



Which is the most stable structure? two is the most stable.



one | ## GePb3 (PBE)

Data for a geometry-optimized GePb3 structure.

Cell lengths 4.786, 4.786, 10.057 Å; angles 90.00, 90.00, 90.00 degrees
Positions (direct):
1 Ge 0.000 0.000 0.000
2 Ge 0.500 0.500 0.500
3 Pb 0.000 0.000 0.500
4 Pb 0.000 0.500 0.250
5 Pb 0.000 0.500 0.750
6 Pb 0.500 0.000 0.250
7 Pb 0.500 0.000 0.750
8 Pb 0.500 0.500 0.000



two | ## GePb3 (PBE)

Data for a geometry-optimized GePb3 structure.

Cell lengths 7.706, 7.706, 7.706 Å; angles 90.00, 90.00, 90.00 degrees
Positions (direct):
1 Ge 0.000 0.000 0.000
2 Ge 0.000 0.500 0.500
3 Ge 0.500 0.000 0.500
4 Ge 0.500 0.500 0.000
5 Pb 0.000 0.000 0.500
6 Pb 0.000 0.500 0.000
7 Pb 0.250 0.250 0.250
8 Pb 0.250 0.250 0.750
9 Pb 0.250 0.750 0.250
10 Pb 0.250 0.750 0.750
11 Pb 0.500 0.000 0.000
12 Pb 0.500 0.500 0.500
13 Pb 0.750 0.250 0.250
14 Pb 0.750 0.250 0.750
15 Pb 0.750 0.750 0.250
16 Pb 0.750 0.750 0.750



Which is the most stable structure? one is the most stable.



one | ## GePb3 (PBE)

Data for a geometry-optimized GePb3 structure.

Cell lengths 3.461, 3.964, 8.818 Å; angles 90.00, 90.00, 90.00 degrees
Positions (direct):
1 Ge 0.000 0.000 0.000
2 Pb 0.000 0.500 0.259
3 Pb 0.500 0.000 0.510
4 Pb 0.500 0.500 0.823



two | ## GePb3 (PBE)

Data for a geometry-optimized GePb3 structure.

Cell lengths 3.419, 11.302, 5.994 Å; angles 90.00, 90.00, 90.00 degrees
Positions (direct):
1 Ge 0.000 0.000 0.000
2 Ge 0.500 0.500 0.500
3 Pb 0.000 0.277 0.633
4 Pb 0.000 0.500 0.055
5 Pb 0.000 0.723 0.633
6 Pb 0.500 0.000 0.555
7 Pb 0.500 0.223 0.133
8 Pb 0.500 0.777 0.133



Which is the most stable structure? two is the most stable.